{"formula": "LiAc3Sn2O9", "functional": "PBE", "state": "relaxed", "m_tot_mub_per_fu": 0.0, "formation_energy_uncorrected_ev_per_atom": -2.501, "cell": [[5.781, 0.000, 0.000], [-2.890, 5.006, 0.000], [0.000, 0.000, 7.147]], "species": ["Li", "Ac", "Ac", "Ac", "Sn", "Sn", "O", "O", "O", "O", "O", "O", "O", "O", "O"], "frac_coords": [[0.000, 0.000, 0.000], [0.000, 0.000, 0.500], [0.333, 0.667, 0.140], [0.667, 0.333, 0.860], [0.333, 0.667, 0.672], [0.667, 0.333, 0.328], [0.000, 0.500, 0.500], [0.167, 0.334, 0.832], [0.167, 0.833, 0.832], [0.334, 0.167, 0.168], [0.500, 0.000, 0.500], [0.500, 0.500, 0.500], [0.666, 0.833, 0.832], [0.833, 0.167, 0.168], [0.833, 0.666, 0.168]]}


{"formula": "TlTeS2Cl", "functional": "PBE", "state": "relaxed", "m_tot_mub_per_fu": 0.0, "formation_energy_uncorrected_ev_per_atom": -0.278, "polymorph_energy_mev_per_atom": 0.0, "cell": [[5.828, 0.000, 0.000], [0.000, 5.668, 0.000], [-1.909, 0.000, 8.520]], "species": ["Tl", "Tl", "Te", "Te", "S", "S", "S", "S", "Cl", "Cl"], "frac_coords": [[0.217, 0.250, 0.440], [0.783, 0.750, 0.560], [0.228, 0.750, 0.080], [0.772, 0.250, 0.920], [0.189, 0.250, 0.045], [0.227, 0.750, 0.348], [0.773, 0.250, 0.652], [0.811, 0.750, 0.955], [0.313, 0.750, 0.736], [0.687, 0.250, 0.264]]}


{"formula": "PaZn6", "functional": "PBE", "state": "relaxed", "delta_e_f_ev_per_atom": -0.0353, "m_tot_mub_per_fu": 0.1, "cell": [[8.726, 0.000, 0.000], [0.000, 5.131, 0.000], [0.000, 0.000, 10.538]], "species": ["Pa", "Pa", "Pa", "Pa", "Zn", "Zn", "Zn", "Zn", "Zn", "Zn", "Zn", "Zn", "Zn", "Zn", "Zn", "Zn", "Zn", "Zn", "Zn", "Zn", "Zn", "Zn", "Zn", "Zn", "Zn", "Zn", "Zn", "Zn"], "frac_coords": [[0.240, 0.250, 0.057], [0.260, 0.750, 0.557], [0.740, 0.250, 0.443], [0.760, 0.750, 0.943], [0.053, 0.750, 0.086], [0.072, 0.012, 0.305], [0.072, 0.488, 0.305], [0.080, 0.250, 0.524], [0.136, 0.750, 0.850], [0.193, 0.250, 0.751], [0.307, 0.750, 0.251], [0.364, 0.250, 0.350], [0.420, 0.750, 0.024], [0.428, 0.512, 0.805], [0.428, 0.988, 0.805], [0.447, 0.250, 0.586], [0.553, 0.750, 0.414], [0.572, 0.012, 0.195], [0.572, 0.488, 0.195], [0.580, 0.250, 0.976], [0.636, 0.750, 0.650], [0.693, 0.250, 0.749], [0.807, 0.750, 0.249], [0.864, 0.250, 0.150], [0.920, 0.750, 0.476], [0.928, 0.512, 0.695], [0.928, 0.988, 0.695], [0.947, 0.250, 0.914]]}


{"formula": "Rb2NbZnSn", "functional": "PBE", "state": "relaxed", "delta_e_f_ev_per_atom": 0.8325, "m_tot_mub_per_fu": 3.2, "cell": [[7.126, 0.000, 0.000], [0.000, 7.126, 0.000], [0.000, 0.000, 5.480]], "species": ["Rb", "Rb", "Nb", "Zn", "Sn"], "frac_coords": [[0.000, 0.500, 0.000], [0.500, 0.000, 0.000], [0.000, 0.000, 0.500], [0.500, 0.500, 0.500], [0.000, 0.000, 0.000]]}


{"formula": "BaPdRh3", "functional": "PBE", "state": "relaxed", "delta_e_f_ev_per_atom": 0.7168, "m_tot_mub_per_fu": 2.5, "polymorph_energy_mev_per_atom": 0.0, "cell": [[4.902, 0.000, 0.000], [0.000, 4.902, 0.000], [0.000, 0.000, 4.902]], "species": ["Ba", "Pd", "Rh", "Rh", "Rh"], "frac_coords": [[0.000, 0.000, 0.000], [0.500, 0.500, 0.500], [0.000, 0.500, 0.500], [0.500, 0.000, 0.500], [0.500, 0.500, 0.000]]}


What are the calculated total energy values for these records? In order: -104.382, -33.998, -69.546, -13.119, -25.586 eV per cell.